[1]
V5CuTe8 | the Alexandria database | GGA-PBE | relaxed; raw formation energy = -0.207 eV/atom
1.0
6.9663 0.0000 4.0220
2.3221 6.5679 4.0220
0.0000 0.0000 8.0440
Te V Cu
8 5 1
Direct
0.4067 0.8644 0.8644
0.8644 0.8644 0.8644
0.8664 0.3779 0.3779
0.3779 0.8664 0.3779
0.3779 0.3779 0.8664
0.8644 0.8644 0.4067
0.3779 0.3779 0.3779
0.8644 0.4067 0.8644
0.1537 0.6154 0.6154
0.6154 0.1537 0.6154
0.6154 0.6154 0.6154
0.0000 0.0000 0.0000
0.6154 0.6154 0.1537
0.2500 0.2500 0.2500

[2]
VCuTe3 | the Alexandria database | GGA-PBE | relaxed; raw formation energy = 0.666 eV/atom; offset from the most stable computed form = 3.58 eV/f.u.
1.0
-2.8501 2.0763 -3.7233
-4.1182 -0.1834 3.0502
1.1018 4.6854 1.7693
Te V Cu
3 1 1
Direct
0.0000 0.0000 0.5000
0.5000 0.0000 0.0000
0.0000 0.5000 0.0000
0.5000 0.5000 0.5000
0.0000 0.0000 0.0000

[3]
VCu2Te4 | the Alexandria database | GGA-PBE | relaxed; raw formation energy = -0.017 eV/atom
1.0
-4.2166 -3.9598 1.4156
2.2871 -0.4771 5.4777
-2.4396 6.4846 -1.6536
Te Cu V
4 2 1
Direct
0.1297 0.1297 0.7608
0.8703 0.3688 0.2392
0.3688 0.8703 0.2392
0.6312 0.6312 0.7608
0.2500 0.7500 0.5000
0.7500 0.2500 0.5000
0.5000 0.5000 0.0000

[4]
VCu2Te6 | the Alexandria database | GGA-PBE | relaxed; raw formation energy = -0.023 eV/atom
1.0
-2.1769 6.2643 -0.7544
-8.0050 -2.6498 1.3633
1.4107 1.4572 8.2974
Te Cu V
12 4 2
Direct
0.8325 0.0280 0.3668
0.3904 0.9768 0.2122
0.5491 0.3332 0.4588
0.4509 0.6668 0.5412
0.0491 0.4588 0.3332
0.1675 0.9720 0.6332
0.1096 0.7878 0.0232
0.6096 0.0232 0.7878
0.6675 0.6332 0.9720
0.9509 0.5412 0.6668
0.3325 0.3668 0.0280
0.8904 0.2122 0.9768
0.1873 0.1878 0.4168
0.6873 0.4168 0.1878
0.3127 0.5832 0.8122
0.8127 0.8122 0.5832
0.7500 0.9300 0.0700
0.2500 0.0700 0.9300

[5]
VCu2Te | the Alexandria database | GGA-PBE | relaxed; raw formation energy = 0.415 eV/atom
1.0
-1.3411 2.6201 -6.6301
6.3374 -2.6516 -2.3298
1.3477 -2.2084 -5.1137
V Cu Te
2 4 2
Direct
0.5000 0.5000 0.0000
0.2500 0.7500 0.5000
0.3750 0.3774 0.7500
0.8750 0.8726 0.7500
0.1274 0.6250 0.2500
0.6226 0.1250 0.2500
0.0000 0.0000 0.0000
0.7500 0.2500 0.5000

[6]
V4CuTe8 | the Alexandria database | GGA-PBE | relaxed; raw formation energy = -0.305 eV/atom
1.0
7.7450 0.0000 0.0000
3.8725 6.7074 0.0000
3.8725 2.2358 6.3238
Te V Cu
8 4 1
Direct
0.1175 0.1175 0.6476
0.1175 0.1175 0.1175
0.6476 0.1175 0.1175
0.1175 0.6476 0.1175
0.6144 0.1568 0.6144
0.6144 0.6144 0.6144
0.1568 0.6144 0.6144
0.6144 0.6144 0.1568
0.3581 0.3581 0.9256
0.3581 0.3581 0.3581
0.9256 0.3581 0.3581
0.3581 0.9256 0.3581
0.7500 0.7500 0.7500

no.,energy (eV/atom)
1,-5.5518
2,-3.8618
3,-4.2857
4,-4.0404
5,-4.6979
6,-5.3590